a.
! NaCl2F2 PBE relaxed; values from VASP
! * DOS(E_F): 0.00 states/eV/cell
! * SG: No. 127
! * density: 2.4 g/cm3
&SYSTEM
  ibrav = 0, nat = 10, ntyp = 3
/
ATOMIC_SPECIES
Na 22.99 Na.upf
Cl 35.45 Cl.upf
F 19.00 F.upf
CELL_PARAMETERS angstrom
7.2098 0.0000 0.0000
0.0000 7.2098 0.0000
0.0000 0.0000 3.5036
ATOMIC_POSITIONS crystal
Na 0.0000 0.0000 0.0000
Na 0.5000 0.5000 0.0000
Cl 0.0967 0.4033 0.0000
Cl 0.4033 0.9033 0.0000
Cl 0.5967 0.0967 0.0000
Cl 0.9033 0.5967 0.0000
F 0.2310 0.7310 0.5000
F 0.2690 0.2310 0.5000
F 0.7310 0.7690 0.5000
F 0.7690 0.2690 0.5000

b.
! NaCl2F2 PBE relaxed; values from VASP
! * DOS(E_F): 2.77 states/eV/cell
! * SG: No. 139
! * density: 2.1 g/cm3
&SYSTEM
  ibrav = 0, nat = 5, ntyp = 3
/
ATOMIC_SPECIES
Na 22.99 Na.upf
Cl 35.45 Cl.upf
F 19.00 F.upf
CELL_PARAMETERS angstrom
-2.4359 2.4359 4.3238
2.4359 -2.4359 4.3238
2.4359 2.4359 -4.3238
ATOMIC_POSITIONS crystal
Na 0.0000 0.0000 0.0000
Cl 0.3870 0.3870 0.0000
Cl 0.6130 0.6130 0.0000
F 0.2500 0.7500 0.5000
F 0.7500 0.2500 0.5000

If we sort the structures by their calculated energies, the order from most to least stable is a, b.

a.
! Na3Cl2F PBE relaxed; values from VASP
! * DOS(E_F): 0.00 states/eV/cell
! * SG: No. 71
! * density: 2.2 g/cm3
&SYSTEM
  ibrav = 0, nat = 6, ntyp = 3
/
ATOMIC_SPECIES
Na 22.99 Na.upf
Cl 35.45 Cl.upf
F 19.00 F.upf
CELL_PARAMETERS angstrom
-1.8721 2.7455 5.7486
1.8721 -2.7455 5.7486
1.8721 2.7455 -5.7486
ATOMIC_POSITIONS crystal
Na 0.0000 0.0000 0.0000
Na 0.3593 0.3593 0.0000
Na 0.6407 0.6407 0.0000
Cl 0.1693 0.6693 0.5000
Cl 0.8307 0.3307 0.5000
F 0.5000 0.0000 0.5000

b.
! Na3Cl2F PBE relaxed; values from VASP
! * DOS(E_F): 0.00 states/eV/cell
! * SG: No. 62
! * density: 2.1 g/cm3
&SYSTEM
  ibrav = 0, nat = 24, ntyp = 3
/
ATOMIC_SPECIES
Na 22.99 Na.upf
Cl 35.45 Cl.upf
F 19.00 F.upf
CELL_PARAMETERS angstrom
11.0327 0.0000 0.0000
0.0000 3.8860 0.0000
0.0000 0.0000 11.5492
ATOMIC_POSITIONS crystal
Na 0.0632 0.2500 0.1437
Na 0.1366 0.7500 0.5551
Na 0.2228 0.2500 0.7946
Na 0.2772 0.7500 0.2946
Na 0.3634 0.2500 0.0551
Na 0.4368 0.7500 0.6437
Na 0.5632 0.2500 0.3563
Na 0.6366 0.7500 0.9449
Na 0.7228 0.2500 0.7054
Na 0.7772 0.7500 0.2054
Na 0.8634 0.2500 0.4449
Na 0.9368 0.7500 0.8563
Cl 0.0147 0.7500 0.3381
Cl 0.1589 0.7500 0.9776
Cl 0.3411 0.2500 0.4776
Cl 0.4853 0.2500 0.8381
Cl 0.5147 0.7500 0.1619
Cl 0.6589 0.7500 0.5224
Cl 0.8411 0.2500 0.0224
Cl 0.9853 0.2500 0.6619
F 0.2492 0.2500 0.2068
F 0.2508 0.7500 0.7068
F 0.7492 0.2500 0.2932
F 0.7508 0.7500 0.7932

If we sort the structures by their calculated energies, the order from most to least stable is a, b.

a.
! NaClF PBE relaxed; values from VASP
! * DOS(E_F): 0.00 states/eV/cell
! * SG: No. 12
! * density: 2.4 g/cm3
&SYSTEM
  ibrav = 0, nat = 6, ntyp = 3
/
ATOMIC_SPECIES
Na 22.99 Na.upf
Cl 35.45 Cl.upf
F 19.00 F.upf
CELL_PARAMETERS angstrom
2.4348 -2.3964 0.0000
2.4348 2.3964 0.0000
-0.5763 0.0000 9.0742
ATOMIC_POSITIONS crystal
Na 0.2298 0.2298 0.3669
Na 0.7702 0.7702 0.6331
Cl 0.4184 0.4184 0.8937
Cl 0.5816 0.5816 0.1063
F 0.2598 0.2598 0.6224
F 0.7402 0.7402 0.3776

b.
! NaClF PBE relaxed; values from VASP
! * DOS(E_F): 4.24 states/eV/cell
! * SG: No. 156
! * density: 2.1 g/cm3
&SYSTEM
  ibrav = 0, nat = 3, ntyp = 3
/
ATOMIC_SPECIES
Na 22.99 Na.upf
Cl 35.45 Cl.upf
F 19.00 F.upf
CELL_PARAMETERS angstrom
3.7659 0.0000 0.0000
-1.8829 3.2613 0.0000
0.0000 0.0000 4.8735
ATOMIC_POSITIONS crystal
Na 0.0000 0.0000 0.0000
Cl 0.3333 0.6667 0.4990
F 0.6667 0.3333 0.9987

If we sort the structures by their calculated energies, the order from most to least stable is a, b.

a.
! Na2ClF6 PBE relaxed; values from VASP
! * SG: No. 14
! * density: 2.5 g/cm3
&SYSTEM
  ibrav = 0, nat = 18, ntyp = 3
/
ATOMIC_SPECIES
Na 22.99 Na.upf
Cl 35.45 Cl.upf
F 19.00 F.upf
CELL_PARAMETERS angstrom
5.9978 0.0000 0.0000
0.0000 5.7309 0.0000
-4.0055 0.0000 7.6707
ATOMIC_POSITIONS crystal
Na 0.1549 0.1138 0.2042
Na 0.1549 0.3862 0.7042
Na 0.8451 0.6138 0.2958
Na 0.8451 0.8862 0.7958
Cl 0.5000 0.0000 0.0000
Cl 0.5000 0.5000 0.5000
F 0.1149 0.1918 0.9244
F 0.1149 0.3082 0.4244
F 0.3120 0.7382 0.9327
F 0.3120 0.7618 0.4327
F 0.4481 0.0488 0.7797
F 0.4481 0.4512 0.2797
F 0.5519 0.5488 0.7203
F 0.5519 0.9512 0.2203
F 0.6880 0.2382 0.5673
F 0.6880 0.2618 0.0673
F 0.8851 0.6918 0.5756
F 0.8851 0.8082 0.0756

b.
! Na2ClF6 PBE relaxed; values from VASP
! * SG: No. 14
! * density: 2.5 g/cm3
&SYSTEM
  ibrav = 0, nat = 18, ntyp = 3
/
ATOMIC_SPECIES
Na 22.99 Na.upf
Cl 35.45 Cl.upf
F 19.00 F.upf
CELL_PARAMETERS angstrom
5.4019 0.0000 0.0000
0.0000 6.5376 0.0000
-5.3025 0.0000 7.4626
ATOMIC_POSITIONS crystal
Na 0.2496 0.0935 0.2214
Na 0.2496 0.4065 0.7214
Na 0.7504 0.5935 0.2786
Na 0.7504 0.9065 0.7786
Cl 0.0000 0.0000 0.5000
Cl 0.0000 0.5000 0.0000
F 0.1149 0.0453 0.7264
F 0.1149 0.4547 0.2264
F 0.2320 0.6826 0.5612
F 0.2320 0.8174 0.0612
F 0.3369 0.1322 0.5501
F 0.3369 0.3678 0.0501
F 0.6631 0.6322 0.9499
F 0.6631 0.8678 0.4499
F 0.7680 0.1826 0.9388
F 0.7680 0.3174 0.4388
F 0.8851 0.5453 0.7736
F 0.8851 0.9547 0.2736

If we sort the structures by their calculated energies, the order from most to least stable is a, b.

a.
! NaClF4 PBE relaxed; values from VASP
! * DOS(E_F): 0.00 states/eV/cell
! * SG: No. 119
! * density: 2.3 g/cm3
&SYSTEM
  ibrav = 0, nat = 6, ntyp = 3
/
ATOMIC_SPECIES
Na 22.99 Na.upf
Cl 35.45 Cl.upf
F 19.00 F.upf
CELL_PARAMETERS angstrom
-2.8782 2.8782 2.9311
2.8782 -2.8782 2.9311
2.8782 2.8782 -2.9311
ATOMIC_POSITIONS crystal
Na 0.0000 0.0000 0.0000
Cl 0.7500 0.2500 0.5000
F 0.5247 0.0247 0.0494
F 0.5247 0.4753 0.5000
F 0.9753 0.0247 0.5000
F 0.9753 0.4753 0.9506

b.
! NaClF4 PBE relaxed; values from VASP
! * DOS(E_F): 0.00 states/eV/cell
! * SG: No. 12
! * density: 2.4 g/cm3
&SYSTEM
  ibrav = 0, nat = 6, ntyp = 3
/
ATOMIC_SPECIES
Na 22.99 Na.upf
Cl 35.45 Cl.upf
F 19.00 F.upf
CELL_PARAMETERS angstrom
3.4219 -2.6633 0.0000
3.4219 2.6633 0.0000
-2.8865 0.0000 5.1697
ATOMIC_POSITIONS crystal
Na 0.0000 0.0000 0.0000
Cl 0.5000 0.5000 0.5000
F 0.2115 0.2115 0.4395
F 0.3900 0.3900 0.1459
F 0.6100 0.6100 0.8541
F 0.7885 0.7885 0.5605

If we sort the structures by their calculated energies, the order from most to least stable is a, b.

a.
! NaPCl2F PBE relaxed; values from VASP
! * DOS(E_F): 1.23 states/eV/cell
! * SG: No. 123
! * density: 2.2 g/cm3
&SYSTEM
  ibrav = 0, nat = 5, ntyp = 4
/
ATOMIC_SPECIES
Na 22.99 Na.upf
P 30.97 P.upf
Cl 35.45 Cl.upf
F 19.00 F.upf
CELL_PARAMETERS angstrom
5.5229 0.0000 0.0000
0.0000 5.5229 0.0000
0.0000 0.0000 3.6245
ATOMIC_POSITIONS crystal
Na 0.0000 0.0000 0.0000
P 0.5000 0.5000 0.0000
Cl 0.0000 0.5000 0.5000
Cl 0.5000 0.0000 0.5000
F 0.5000 0.5000 0.5000

b.
! NaPCl2F PBE relaxed; values from VASP
! * DOS(E_F): 4.88 states/eV/cell
! * SG: No. 123
! * density: 1.5 g/cm3
&SYSTEM
  ibrav = 0, nat = 5, ntyp = 4
/
ATOMIC_SPECIES
Na 22.99 Na.upf
P 30.97 P.upf
Cl 35.45 Cl.upf
F 19.00 F.upf
CELL_PARAMETERS angstrom
4.9305 0.0000 0.0000
0.0000 4.9305 0.0000
0.0000 0.0000 6.7294
ATOMIC_POSITIONS crystal
Na 0.0000 0.0000 0.0000
P 0.0000 0.0000 0.5000
Cl 0.0000 0.5000 0.0000
Cl 0.5000 0.0000 0.0000
F 0.5000 0.5000 0.5000

If we sort the structures by their calculated energies, the order from most to least stable is a, b.

a.
! NaP2ClF PBE relaxed; values from VASP
! * DOS(E_F): 3.59 states/eV/cell
! * SG: No. 123
! * density: 2.0 g/cm3
&SYSTEM
  ibrav = 0, nat = 5, ntyp = 4
/
ATOMIC_SPECIES
Na 22.99 Na.upf
P 30.97 P.upf
Cl 35.45 Cl.upf
F 19.00 F.upf
CELL_PARAMETERS angstrom
4.0966 0.0000 0.0000
0.0000 4.0966 0.0000
0.0000 0.0000 6.7315
ATOMIC_POSITIONS crystal
Na 0.0000 0.0000 0.0000
P 0.0000 0.5000 0.5000
P 0.5000 0.0000 0.5000
Cl 0.5000 0.5000 0.0000
F 0.5000 0.5000 0.5000

b.
! NaP2ClF PBE relaxed; values from VASP
! * DOS(E_F): 5.34 states/eV/cell
! * SG: No. 123
! * density: 1.9 g/cm3
&SYSTEM
  ibrav = 0, nat = 5, ntyp = 4
/
ATOMIC_SPECIES
Na 22.99 Na.upf
P 30.97 P.upf
Cl 35.45 Cl.upf
F 19.00 F.upf
CELL_PARAMETERS angstrom
5.0433 0.0000 0.0000
0.0000 5.0433 0.0000
0.0000 0.0000 4.8266
ATOMIC_POSITIONS crystal
Na 0.0000 0.0000 0.0000
P 0.0000 0.5000 0.0000
P 0.5000 0.0000 0.0000
Cl 0.0000 0.0000 0.5000
F 0.5000 0.5000 0.5000

If we sort the structures by their calculated energies, the order from most to least stable is a, b.

a.
! NaSCl2F PBE relaxed; values from VASP
! * DOS(E_F): 4.45 states/eV/cell
! * SG: No. 123
! * density: 2.1 g/cm3
&SYSTEM
  ibrav = 0, nat = 5, ntyp = 4
/
ATOMIC_SPECIES
Na 22.99 Na.upf
S 32.06 S.upf
Cl 35.45 Cl.upf
F 19.00 F.upf
CELL_PARAMETERS angstrom
5.6045 0.0000 0.0000
0.0000 5.6045 0.0000
0.0000 0.0000 3.6644
ATOMIC_POSITIONS crystal
Na 0.0000 0.0000 0.0000
S 0.5000 0.5000 0.0000
Cl 0.0000 0.5000 0.5000
Cl 0.5000 0.0000 0.5000
F 0.5000 0.5000 0.5000

b.
! NaSCl2F PBE relaxed; values from VASP
! * DOS(E_F): 8.38 states/eV/cell
! * SG: No. 123
! * density: 1.6 g/cm3
&SYSTEM
  ibrav = 0, nat = 5, ntyp = 4
/
ATOMIC_SPECIES
Na 22.99 Na.upf
S 32.06 S.upf
Cl 35.45 Cl.upf
F 19.00 F.upf
CELL_PARAMETERS angstrom
5.1105 0.0000 0.0000
0.0000 5.1105 0.0000
0.0000 0.0000 5.9423
ATOMIC_POSITIONS crystal
Na 0.0000 0.0000 0.0000
S 0.0000 0.0000 0.5000
Cl 0.0000 0.5000 0.0000
Cl 0.5000 0.0000 0.0000
F 0.5000 0.5000 0.5000

If we sort the structures by their calculated energies, the order from most to least stable is a, b.

a.
! NaS2ClF PBE relaxed; values from VASP
! * DOS(E_F): 8.28 states/eV/cell
! * SG: No. 123
! * density: 1.5 g/cm3
&SYSTEM
  ibrav = 0, nat = 5, ntyp = 4
/
ATOMIC_SPECIES
Na 22.99 Na.upf
S 32.06 S.upf
Cl 35.45 Cl.upf
F 19.00 F.upf
CELL_PARAMETERS angstrom
5.5404 0.0000 0.0000
0.0000 5.5404 0.0000
0.0000 0.0000 4.9758
ATOMIC_POSITIONS crystal
Na 0.0000 0.0000 0.0000
S 0.0000 0.5000 0.0000
S 0.5000 0.0000 0.0000
Cl 0.0000 0.0000 0.5000
F 0.5000 0.5000 0.5000

b.
! NaS2ClF PBE relaxed; values from VASP
! * DOS(E_F): 4.43 states/eV/cell
! * SG: No. 123
! * density: 2.0 g/cm3
&SYSTEM
  ibrav = 0, nat = 5, ntyp = 4
/
ATOMIC_SPECIES
Na 22.99 Na.upf
S 32.06 S.upf
Cl 35.45 Cl.upf
F 19.00 F.upf
CELL_PARAMETERS angstrom
4.1425 0.0000 0.0000
0.0000 4.1425 0.0000
0.0000 0.0000 6.8099
ATOMIC_POSITIONS crystal
Na 0.0000 0.0000 0.0000
S 0.0000 0.5000 0.5000
S 0.5000 0.0000 0.5000
Cl 0.5000 0.5000 0.0000
F 0.5000 0.5000 0.5000

If we sort the structures by their calculated energies, the order from most to least stable is b, a.

a.
! NbCl2F PBE relaxed; values from VASP
! * DOS(E_F): 1.44 states/eV/cell
! * SG: No. 166
! * density: 4.2 g/cm3
&SYSTEM
  ibrav = 0, nat = 4, ntyp = 3
/
ATOMIC_SPECIES
Nb 92.91 Nb.upf
Cl 35.45 Cl.upf
F 19.00 F.upf
CELL_PARAMETERS angstrom
1.6364 0.9448 7.8613
-1.6364 0.9448 7.8613
0.0000 -1.8895 7.8613
ATOMIC_POSITIONS crystal
Nb 0.0000 0.0000 0.0000
Cl 0.4044 0.4044 0.4044
Cl 0.5956 0.5956 0.5956
F 0.5000 0.5000 0.5000

b.
! NbCl2F PBE relaxed; values from VASP
! * DOS(E_F): 2.37 states/eV/cell
! * SG: No. 71
! * density: 3.3 g/cm3
&SYSTEM
  ibrav = 0, nat = 4, ntyp = 3
/
ATOMIC_SPECIES
Nb 92.91 Nb.upf
Cl 35.45 Cl.upf
F 19.00 F.upf
CELL_PARAMETERS angstrom
-1.5829 2.0697 7.0601
1.5829 -2.0697 7.0601
1.5829 2.0697 -7.0601
ATOMIC_POSITIONS crystal
Nb 0.0000 0.0000 0.0000
Cl 0.1357 0.6357 0.5000
Cl 0.8643 0.3643 0.5000
F 0.5000 0.0000 0.5000

If we sort the structures by their calculated energies, the order from most to least stable is b, a.

a.
! NbCl2F PBE relaxed; values from VASP
! * DOS(E_F): 4.02 states/eV/cell
! * SG: No. 122
! * density: 3.4 g/cm3
&SYSTEM
  ibrav = 0, nat = 8, ntyp = 3
/
ATOMIC_SPECIES
Nb 92.91 Nb.upf
Cl 35.45 Cl.upf
F 19.00 F.upf
CELL_PARAMETERS angstrom
-4.6138 4.6138 2.0865
4.6138 -4.6138 2.0865
4.6138 4.6138 -2.0865
ATOMIC_POSITIONS crystal
Nb 0.0000 0.0000 0.0000
Nb 0.7500 0.2500 0.5000
Cl 0.3750 0.2185 0.3435
Cl 0.7815 0.1250 0.1565
Cl 0.8750 0.0315 0.6565
Cl 0.9685 0.6250 0.8435
F 0.2500 0.7500 0.5000
F 0.5000 0.5000 0.0000

b.
! NbCl2F PBE relaxed; values from VASP
! * DOS(E_F): 0.00 states/eV/cell
! * SG: No. 225
! * density: 5.0 g/cm3
&SYSTEM
  ibrav = 0, nat = 4, ntyp = 3
/
ATOMIC_SPECIES
Nb 92.91 Nb.upf
Cl 35.45 Cl.upf
F 19.00 F.upf
CELL_PARAMETERS angstrom
0.0000 3.1232 3.1232
3.1232 0.0000 3.1232
3.1232 3.1232 0.0000
ATOMIC_POSITIONS crystal
Nb 0.0000 0.0000 0.0000
Cl 0.2500 0.2500 0.2500
Cl 0.7500 0.7500 0.7500
F 0.5000 0.5000 0.5000

If we sort the structures by their calculated energies, the order from most to least stable is a, b.

a.
! Nb2ClF PBE relaxed; values from VASP
! * DOS(E_F): 6.37 states/eV/cell
! * SG: No. 225
! * density: 6.9 g/cm3
&SYSTEM
  ibrav = 0, nat = 4, ntyp = 3
/
ATOMIC_SPECIES
Nb 92.91 Nb.upf
Cl 35.45 Cl.upf
F 19.00 F.upf
CELL_PARAMETERS angstrom
0.0000 3.0716 3.0716
3.0716 0.0000 3.0716
3.0716 3.0716 0.0000
ATOMIC_POSITIONS crystal
Nb 0.2500 0.2500 0.2500
Nb 0.7500 0.7500 0.7500
Cl 0.0000 0.0000 0.0000
F 0.5000 0.5000 0.5000

b.
! Nb2ClF PBE relaxed; values from VASP
! * DOS(E_F): 7.02 states/eV/cell
! * SG: No. 122
! * density: 6.1 g/cm3
&SYSTEM
  ibrav = 0, nat = 8, ntyp = 3
/
ATOMIC_SPECIES
Nb 92.91 Nb.upf
Cl 35.45 Cl.upf
F 19.00 F.upf
CELL_PARAMETERS angstrom
-1.9934 1.9934 8.2434
1.9934 -1.9934 8.2434
1.9934 1.9934 -8.2434
ATOMIC_POSITIONS crystal
Nb 0.1118 0.6250 0.9868
Nb 0.3750 0.3618 0.4868
Nb 0.6382 0.1250 0.0132
Nb 0.8750 0.8882 0.5132
Cl 0.2500 0.7500 0.5000
Cl 0.5000 0.5000 0.0000
F 0.0000 0.0000 0.0000
F 0.7500 0.2500 0.5000

If we sort the structures by their calculated energies, the order from most to least stable is b, a.